Entry from the Alexandria database: a relaxed Er4Bi3Pb crystal (PBE).

Lattice parameters (Å, degrees): 6.282 6.282 6.282 90.00 90.00 90.00
Fractional coordinates of all 8 atoms:
Pb1 0.000 0.000 0.000
Bi1 0.000 0.500 0.500
Bi2 0.500 0.000 0.500
Bi3 0.500 0.500 0.000
Er1 0.500 0.000 0.000
Er2 0.000 0.500 0.000
Er3 0.000 0.000 0.500
Er4 0.500 0.500 0.500

Summary:
E_form = -0.682 eV/atom
symmetry = Pm-3m, No. 221

Entry from the Alexandria database: a relaxed MoRh2 crystal (PBE).

Lattice parameters (Å, degrees): 5.003 5.003 5.003 104.53 104.53 119.89
Fractional coordinates of all 6 atoms:
Mo1 0.750 0.750 0.000
Mo2 0.250 0.250 0.000
Rh1 0.149 0.351 0.500
Rh2 0.351 0.851 0.202
Rh3 0.649 0.149 0.798
Rh4 0.851 0.649 0.500

Summary:
E_form = 0.159 eV/atom
symmetry = I4/mcm, No. 140

Entry from the Alexandria database: a relaxed NaBe2H6 crystal (PBE).

Lattice parameters (Å, degrees): 4.396 4.396 4.396 60.00 60.00 60.00
Fractional coordinates of all 9 atoms:
Na1 0.000 0.000 0.000
Be1 0.750 0.750 0.750
Be2 0.250 0.250 0.250
H1 0.309 0.691 0.691
H2 0.691 0.691 0.309
H3 0.691 0.309 0.691
H4 0.691 0.309 0.309
H5 0.309 0.309 0.691
H6 0.309 0.691 0.309

Summary:
polymorph energy (0 for the lowest one) = 931.3 kJ/mol of formula units
symmetry = Fm-3m, No. 225

Entry from the Alexandria database: a relaxed CaPu2Rh3 crystal (PBE).

Lattice parameters (Å, degrees): 5.696 5.645 8.282 103.36 110.11 90.00
Fractional coordinates of all 12 atoms:
Ca1 0.891 0.750 0.000
Ca2 0.109 0.250 0.000
Pu1 0.789 0.560 0.322
Pu2 0.533 0.060 0.322
Pu3 0.467 0.940 0.678
Pu4 0.211 0.440 0.678
Rh1 0.600 0.250 0.000
Rh2 0.400 0.750 0.000
Rh3 0.057 0.096 0.362
Rh4 0.695 0.404 0.638
Rh5 0.305 0.596 0.362
Rh6 0.943 0.904 0.638

Summary:
E_form = -0.327 eV/atom
polymorph energy (0 for the lowest one) = 53.1 kJ/mol of formula units
symmetry = C2/c, No. 15

Entry from the Alexandria database: a relaxed Rb3Ga9Au2 crystal (PBE).

Lattice parameters (Å, degrees): 4.503 9.266 9.266 83.84 75.94 75.94
Fractional coordinates of all 14 atoms:
Rb1 0.000 0.000 0.000
Rb2 0.709 0.291 0.291
Rb3 0.291 0.709 0.709
Ga1 0.000 0.500 0.500
Ga2 0.684 0.001 0.630
Ga3 0.316 0.999 0.370
Ga4 0.684 0.630 0.001
Ga5 0.316 0.370 0.999
Ga6 0.888 0.806 0.418
Ga7 0.112 0.194 0.582
Ga8 0.888 0.418 0.806
Ga9 0.112 0.582 0.194
Au1 0.500 0.277 0.723
Au2 0.500 0.723 0.277

Summary:
E_form = -0.129 eV/atom
symmetry = Immm, No. 71

Entry from the Alexandria database: a relaxed LiReSb2 crystal (PBE).

Lattice parameters (Å, degrees): 3.401 3.401 7.250 90.00 90.00 90.01
Fractional coordinates of all 4 atoms:
Li1 0.000 0.000 0.531
Re1 0.500 0.500 0.721
Sb1 0.000 0.000 0.905
Sb2 0.500 0.500 0.344

Summary:
polymorph energy (0 for the lowest one) = 87.3 kJ/mol of formula units
symmetry = P4mm, No. 99
formation energy (no corrections) = 0.262 eV per atom

Entry from the Alexandria database: a relaxed AcDyMgCd crystal (PBE).

Lattice parameters (Å, degrees): 5.570 5.570 5.570 60.00 60.00 60.00
Fractional coordinates of all 4 atoms:
Ac1 0.000 0.000 0.000
Cd1 0.750 0.750 0.750
Mg1 0.250 0.250 0.250
Dy1 0.500 0.500 0.500

Summary:
E_form = -0.149 eV/atom
polymorph energy (0 for the lowest one) = 10.7 kJ/mol of formula units
symmetry = F-43m, No. 216

Entry from the Alexandria database: a relaxed MgInPdO4 crystal (PBE).

Lattice parameters (Å, degrees): 6.409 6.277 6.399 120.64 90.00 120.69
Fractional coordinates of all 14 atoms:
Mg1 0.884 0.767 0.134
Mg2 0.116 0.233 0.866
In1 0.500 0.000 0.500
In2 0.500 0.000 0.000
Pd1 0.500 0.500 0.500
Pd2 0.000 0.500 0.500
O1 0.751 0.501 0.735
O2 0.275 0.023 0.262
O3 0.748 0.023 0.262
O4 0.751 0.501 0.266
O5 0.249 0.499 0.734
O6 0.725 0.977 0.738
O7 0.252 0.977 0.738
O8 0.249 0.499 0.265

Summary:
symmetry = Imma, No. 74
formation energy (no corrections) = -1.379 eV per atom

Entry from the Alexandria database: a relaxed NaTlSe3 crystal (PBE).

Lattice parameters (Å, degrees): 5.407 5.407 5.407 90.00 90.00 90.00
Fractional coordinates of all 5 atoms:
Na1 0.000 0.000 0.000
Tl1 0.500 0.500 0.500
Se1 0.000 0.500 0.000
Se2 0.000 0.000 0.500
Se3 0.500 0.000 0.000

Summary:
polymorph energy (0 for the lowest one) = 342.2 kJ/mol of formula units
symmetry = Pm-3m, No. 221
formation energy (no corrections) = 0.299 eV per atom

Entry from the Alexandria database: a relaxed CaThPb2 crystal (PBE).

Lattice parameters (Å, degrees): 3.607 3.607 9.225 90.00 90.00 90.00
Fractional coordinates of all 4 atoms:
Pb1 0.000 0.000 0.755
Pb2 0.000 0.000 0.245
Ca1 0.500 0.500 0.000
Th1 0.500 0.500 0.500

Summary:
E_form = -0.399 eV/atom
polymorph energy (0 for the lowest one) = 0.0 kJ/mol of formula units
symmetry = P4/mmm, No. 123

Entry from the Alexandria database: a relaxed ScBeHg2 crystal (PBE).

Lattice parameters (Å, degrees): 4.240 4.240 5.589 67.64 67.64 60.14
Fractional coordinates of all 4 atoms:
Sc1 0.750 0.750 0.750
Be1 0.250 0.250 0.250
Hg1 0.976 0.976 0.073
Hg2 0.524 0.524 0.427

Summary:
E_form = 0.011 eV/atom
symmetry = C2/m, No. 12

Entry from the Alexandria database: a relaxed DyHoGaSi crystal (PBE).

Lattice parameters (Å, degrees): 4.295 3.947 5.759 90.00 111.89 90.00
Fractional coordinates of all 4 atoms:
Dy1 0.859 0.500 0.718
Ho1 0.140 0.000 0.280
Ga1 0.424 0.000 0.849
Si1 0.576 0.500 0.153

Summary:
symmetry = Amm2, No. 38
formation energy (no corrections) = -0.750 eV per atom

| no. | D(E_F) (states/eV/atom) |
| --- | --- |
| 1 | 0.413 |
| 2 | 0.980 |
| 3 | 0.385 |
| 4 | 2.587 |
| 5 | 0.342 |
| 6 | 0.897 |
| 7 | 1.212 |
| 8 | 0.251 |
| 9 | 0.882 |
| 10 | 0.776 |
| 11 | 0.614 |
| 12 | 0.804 |